1.
# LaGaNi (PBE-GGA, optimized geometry)
data_LaGaNi
_space_group_name_H-M_alt 'P 1 21/c 1'
_space_group_IT_number 14
_space_group_name_Hall '-P 2ybc'
_cell_length_a 6.102
_cell_length_b 6.374
_cell_length_c 7.817
_cell_angle_alpha 90.00
_cell_angle_beta 124.01
_cell_angle_gamma 90.00
loop_
_atom_site_label
_atom_site_type_symbol
_atom_site_fract_x
_atom_site_fract_y
_atom_site_fract_z
La1 La 0.216 0.147 0.419
Ga1 Ga 0.257 0.633 0.578
Ni1 Ni 0.365 0.594 0.324
# * VASP energy: -5.104 eV/atom

2.
# CsLaIr (PBE-GGA, optimized geometry)
data_CsLaIr
_space_group_name_H-M_alt 'F -4 3 m'
_space_group_IT_number 216
_space_group_name_Hall 'F -4 2 3'
_cell_length_a 7.124
_cell_length_b 7.124
_cell_length_c 7.124
_cell_angle_alpha 90.00
_cell_angle_beta 90.00
_cell_angle_gamma 90.00
loop_
_atom_site_label
_atom_site_type_symbol
_atom_site_fract_x
_atom_site_fract_y
_atom_site_fract_z
Cs1 Cs 0.000 0.000 0.000
La1 La 0.250 0.250 0.250
Ir1 Ir 0.250 0.250 0.750
# * energy above the lowest structure with this stoichiometry: 738 meV/atom

3.
# LuNiPtPb (PBE-GGA, optimized geometry)
data_LuNiPtPb
_space_group_name_H-M_alt 'F -4 3 m'
_space_group_IT_number 216
_space_group_name_Hall 'F -4 2 3'
_cell_length_a 6.718
_cell_length_b 6.718
_cell_length_c 6.718
_cell_angle_alpha 90.00
_cell_angle_beta 90.00
_cell_angle_gamma 90.00
loop_
_atom_site_label
_atom_site_type_symbol
_atom_site_fract_x
_atom_site_fract_y
_atom_site_fract_z
Lu1 Lu 0.000 0.000 0.000
Ni1 Ni 0.250 0.250 0.750
Pt1 Pt 0.250 0.250 0.250
Pb1 Pb 0.000 0.000 0.500
# * energy above the lowest structure with this stoichiometry: 0 meV/atom

4.
# Ho2ZrCu4Si4 (PBE-GGA, optimized geometry)
data_Ho2ZrCu4Si4
_space_group_name_H-M_alt 'I m m m'
_space_group_IT_number 71
_space_group_name_Hall '-I 2 2'
_cell_length_a 4.085
_cell_length_b 6.423
_cell_length_c 13.431
_cell_angle_alpha 90.00
_cell_angle_beta 90.00
_cell_angle_gamma 90.00
loop_
_atom_site_label
_atom_site_type_symbol
_atom_site_fract_x
_atom_site_fract_y
_atom_site_fract_z
Ho1 Ho 0.000 0.000 0.129
Zr1 Zr 0.000 0.500 0.000
Cu1 Cu 0.000 0.191 0.331
Si1 Si 0.000 0.306 0.500
Si2 Si 0.000 0.500 0.213
# * VASP energy: -5.547 eV/atom